The following is a PBE calculation of LiMoP2 after structural relaxation, from Alexandria via LeMat-Bulk.

Cell lengths 4.050, 3.194, 4.639 Å; angles 69.86, 90.00, 90.00 degrees
Sites, in units of the cell vectors:
Li 0.000 0.492 0.392
Mo 0.500 0.753 0.870
P 0.000 0.216 0.943
P 0.500 0.040 0.295

The following is a PBE calculation of Li4MoP after structural relaxation, from Alexandria via LeMat-Bulk.

Cell lengths 4.743, 4.743, 4.743 Å; angles 60.00, 60.00, 60.00 degrees
Last column: magnetic moment on the atom in μB.
Sites, in units of the cell vectors:
Li 0.877 0.374 0.374  0.01
Li 0.374 0.374 0.877  0.01
Li 0.374 0.877 0.374  0.01
Li 0.374 0.374 0.374  0.01
Mo 0.750 0.750 0.750  0.80
P 0.000 0.000 0.000  -0.03

The following is a PBE calculation of Li2MoP after structural relaxation, from Alexandria via LeMat-Bulk.

Cell lengths 3.442, 3.442, 4.780 Å; angles 90.00, 90.00, 90.00 degrees
Last column: magnetic moment on the atom in μB.
Sites, in units of the cell vectors:
Li 0.000 0.000 0.983  0.00
Li 0.000 0.000 0.517  0.00
Mo 0.500 0.500 0.250  0.25
P 0.500 0.500 0.750  -0.01

The following is a PBE calculation of LiMoP2 after structural relaxation, from Alexandria via LeMat-Bulk.

Cell lengths 4.225, 4.225, 4.225 Å; angles 60.00, 60.00, 60.00 degrees
Sites, in units of the cell vectors:
Li 0.500 0.500 0.500
Mo 0.750 0.750 0.750
P 0.000 0.000 0.000
P 0.250 0.250 0.250

The following is a PBE calculation of Li2MoP after structural relaxation, from Alexandria via LeMat-Bulk.

Cell lengths 3.187, 3.187, 5.708 Å; angles 90.00, 90.00, 90.00 degrees
Sites, in units of the cell vectors:
Li 0.000 0.000 0.002
Li 0.500 0.500 0.250
Mo 0.000 0.000 0.534
P 0.500 0.500 0.713

The following is a PBE calculation of LiMo2P after structural relaxation, from Alexandria via LeMat-Bulk.

Cell lengths 4.017, 4.017, 3.364 Å; angles 90.00, 90.00, 97.92 degrees
Sites, in units of the cell vectors:
Li 0.000 0.500 0.500
Mo 0.000 0.000 0.000
Mo 0.500 0.500 0.000
P 0.500 0.000 0.500

The following is a PBE calculation of LiMoP2 after structural relaxation, from Alexandria via LeMat-Bulk.

Cell lengths 3.176, 3.176, 7.539 Å; angles 77.84, 77.84, 60.00 degrees
Sites, in units of the cell vectors:
Li 0.503 0.503 0.492
Mo 0.665 0.665 0.004
P 0.074 0.074 0.778
P 0.258 0.258 0.227

The following is a PBE calculation of Li2MoP after structural relaxation, from Alexandria via LeMat-Bulk.

Cell lengths 4.540, 2.757, 4.483 Å; angles 78.78, 90.00, 90.00 degrees
Sites, in units of the cell vectors:
Li 0.000 0.906 0.991
Li 0.000 0.594 0.509
Mo 0.500 0.250 0.250
P 0.500 0.750 0.750

The following is a PBE calculation of LiMoP2 after structural relaxation, from Alexandria via LeMat-Bulk.

Cell lengths 3.076, 3.076, 6.250 Å; angles 90.00, 90.00, 90.00 degrees
Sites, in units of the cell vectors:
Li 0.500 0.500 0.250
Mo 0.500 0.500 0.750
P 0.000 0.000 0.967
P 0.000 0.000 0.533

The following is a PBE calculation of LiMoP2 after structural relaxation, from Alexandria via LeMat-Bulk.

Cell lengths 4.186, 4.186, 3.125 Å; angles 89.92, 89.92, 100.11 degrees
Sites, in units of the cell vectors:
Li 0.500 0.000 0.500
Mo 0.000 0.500 0.500
P 0.000 0.000 0.000
P 0.500 0.500 0.000

The following is a PBE calculation of LiMoP2 after structural relaxation, from Alexandria via LeMat-Bulk.

Cell lengths 3.368, 3.368, 4.847 Å; angles 90.00, 90.00, 90.00 degrees
Sites, in units of the cell vectors:
Li 0.000 0.000 0.462
Mo 0.500 0.500 0.778
P 0.000 0.000 0.966
P 0.500 0.500 0.294

The following is a PBE calculation of LiMo2P after structural relaxation, from Alexandria via LeMat-Bulk.

Cell lengths 3.448, 4.078, 3.900 Å; angles 90.00, 90.00, 90.00 degrees
Sites, in units of the cell vectors:
Li 0.000 0.500 0.500
Mo 0.000 0.000 0.000
Mo 0.500 0.500 0.000
P 0.500 0.000 0.500

The following is a PBE calculation of Li2MoP after structural relaxation, from Alexandria via LeMat-Bulk.

Cell lengths 4.144, 4.144, 4.144 Å; angles 60.00, 60.00, 60.00 degrees
Sites, in units of the cell vectors:
Li 0.000 0.000 0.000
Li 0.250 0.250 0.250
Mo 0.500 0.500 0.500
P 0.750 0.750 0.750

The following is a PBE calculation of LiMo2P after structural relaxation, from Alexandria via LeMat-Bulk.

Cell lengths 2.794, 2.794, 8.222 Å; angles 90.00, 90.00, 109.07 degrees
Sites, in units of the cell vectors:
Li 0.500 0.500 0.750
Mo 0.000 0.000 0.033
Mo 0.000 0.000 0.467
P 0.500 0.500 0.250

The following is a PBE calculation of Li2MoP after structural relaxation, from Alexandria via LeMat-Bulk.

Cell lengths 3.550, 3.550, 4.192 Å; angles 90.00, 90.00, 90.00 degrees
Sites, in units of the cell vectors:
Li 0.000 0.000 0.000
Li 0.500 0.500 0.000
Mo 0.500 0.000 0.500
P 0.000 0.500 0.500

The following is a PBE calculation of LiMo2P2 after structural relaxation, from Alexandria via LeMat-Bulk.

Cell lengths 6.591, 6.591, 3.182 Å; angles 90.00, 90.00, 90.00 degrees
Sites, in units of the cell vectors:
P 0.357 0.857 0.000
P 0.857 0.643 0.000
P 0.643 0.143 0.000
P 0.143 0.357 0.000
Mo 0.152 0.652 0.500
Mo 0.652 0.848 0.500
Mo 0.848 0.348 0.500
Mo 0.348 0.152 0.500
Li 0.000 0.000 0.000
Li 0.500 0.500 0.000

The following is a PBE calculation of Li2MoP after structural relaxation, from Alexandria via LeMat-Bulk.

Cell lengths 3.385, 3.176, 5.721 Å; angles 74.01, 90.00, 90.00 degrees
Sites, in units of the cell vectors:
Li 0.000 0.806 0.012
Li 0.500 0.191 0.241
Mo 0.000 0.537 0.553
P 0.500 0.966 0.694

The following is a PBE calculation of LiMo2P2 after structural relaxation, from Alexandria via LeMat-Bulk.

Cell lengths 4.592, 4.592, 5.258 Å; angles 64.11, 64.11, 90.00 degrees
Sites, in units of the cell vectors:
P 0.750 0.250 0.500
P 0.250 0.750 0.500
Mo 0.364 0.364 0.273
Mo 0.636 0.636 0.727
Li 0.000 0.000 0.000

The following is a PBE calculation of Li2MoP after structural relaxation, from Alexandria via LeMat-Bulk.

Cell lengths 9.176, 9.176, 9.176 Å; angles 17.10, 17.10, 17.10 degrees
Last column: magnetic moment on the atom in μB.
Sites, in units of the cell vectors:
Li 0.010 0.010 0.010  0.00
Li 0.490 0.490 0.490  0.00
Mo 0.250 0.250 0.250  0.23
P 0.750 0.750 0.750  0.16

The following is a PBE calculation of LiMo2P after structural relaxation, from Alexandria via LeMat-Bulk.

Cell lengths 3.179, 3.179, 5.525 Å; angles 90.00, 90.00, 90.00 degrees
Sites, in units of the cell vectors:
Li 0.500 0.500 0.750
Mo 0.000 0.000 0.025
Mo 0.000 0.000 0.475
P 0.500 0.500 0.250

Per-record uncorrected energy, eV/atom: -6.163 -3.580 -4.932 -5.578 -5.199 -7.164 -6.310 -5.090 -6.304 -6.012 -6.126 -7.163 -5.095 -7.015 -5.131 -7.335 -5.210 -6.958 -4.834 -7.149
Per-record spin magnetization, Bohr magnetons per cell: 0.00 1.03 0.27 0.00 0.00 0.00 0.00 0.00 0.00 0.00 0.00 0.00 0.00 0.00 0.00 0.00 0.00 0.00 0.59 0.00
Per-record density of states at the Fermi level, states/eV/cell: 1.97 5.08 1.98 2.67 2.69 2.93 1.69 1.19 1.47 2.79 1.38 3.53 3.10 1.97 3.18 5.03 2.36 3.39 4.14 3.57